[1]
Compound: Y2CrMoPb
Source: the Alexandria database
Functional: meta-GGA SCAN
Structure: single point on PBEsol structure

Output
- DFT total energy: -36.559 eV/atom
- Density of states at the Fermi level: 5.5 states/eV/cell
- Space group: No. 123
- ΔE_f: 388 meV/atom

The structure in POSCAR format:
```
Y2CrMoPb
1.0
4.277 0.000 0.000
0.000 5.276 0.000
0.000 0.000 5.276
Y Cr Pb Mo
2 1 1 1
Direct
0.000 0.000 0.500
0.000 0.500 0.000
0.000 0.000 0.000
0.500 0.500 0.500
0.500 0.000 0.000
```

[2]
Compound: CrMo2Pd
Source: the Alexandria database
Functional: meta-GGA SCAN
Structure: single point on PBEsol structure

Output
- DFT total energy: -29.836 eV/atom
- Density of states at the Fermi level: 4.7 states/eV/cell
- Space group: No. 225
- ΔE_f: 396 meV/atom

The structure in POSCAR format:
```
CrMo2Pd
1.0
-1.782 -3.423 1.947
2.193 -2.136 3.050
-1.233 0.264 4.134
Pd Mo Cr
1 2 1
Direct
0.500 0.500 0.500
0.750 0.750 0.750
0.250 0.250 0.250
0.000 0.000 0.000
```

[3]
Compound: CrMo3Pd
Source: the Alexandria database
Functional: meta-GGA SCAN
Structure: single point on PBEsol structure

Output
- DFT total energy: -29.988 eV/atom
- Density of states at the Fermi level: 3.5 states/eV/cell
- Space group: No. 221
- ΔE_f: 1175 meV/atom

The structure in POSCAR format:
```
CrMo3Pd
1.0
-1.464 3.950 -1.131
-2.548 -1.815 -3.040
-3.223 -0.359 2.917
Mo Cr Pd
3 1 1
Direct
0.000 0.500 0.000
0.500 0.000 0.000
0.000 0.000 0.500
0.000 0.000 0.000
0.500 0.500 0.500
```

[4]
Compound: CrMoPt3
Source: the Alexandria database
Functional: meta-GGA SCAN
Structure: single point on PBEsol structure

Output
- DFT total energy: -51.657 eV/atom
- Density of states at the Fermi level: 4.0 states/eV/cell
- Space group: No. 221
- ΔE_f: 1113 meV/atom

The structure in POSCAR format:
```
CrMoPt3
1.0
-3.011 2.172 -2.521
-2.695 -3.586 0.129
-1.952 1.601 3.710
Pt Mo Cr
3 1 1
Direct
0.500 0.000 0.000
0.000 0.000 0.500
0.000 0.500 0.000
0.500 0.500 0.500
0.000 0.000 0.000
```

[5]
Compound: CrMo2Pt
Source: the Alexandria database
Functional: meta-GGA SCAN
Structure: single point on PBEsol structure

Output
- DFT total energy: -39.624 eV/atom
- Density of states at the Fermi level: 3.1 states/eV/cell
- Space group: No. 99
- ΔE_f: -37 meV/atom

The structure in POSCAR format:
```
CrMo2Pt
1.0
-0.966 -2.544 -1.599
1.563 -1.860 2.015
-4.727 -0.322 3.370
Pt Cr Mo
1 1 2
Direct
0.000 0.000 0.510
0.500 0.500 0.762
0.500 0.500 0.241
0.000 0.000 0.987
```

[6]
Compound: Cr4MoPt
Source: the Alexandria database
Functional: meta-GGA SCAN
Structure: single point on PBEsol structure

Output
- DFT total energy: -29.820 eV/atom
- Density of states at the Fermi level: 6.4 states/eV/cell
- Space group: No. 216
- ΔE_f: -51 meV/atom

The structure in POSCAR format:
```
Cr4MoPt
1.0
4.720 0.000 0.000
2.360 4.088 0.000
2.360 1.363 3.854
Pt Cr Mo
1 4 1
Direct
0.000 0.000 0.000
0.376 0.872 0.376
0.376 0.376 0.376
0.376 0.376 0.872
0.872 0.376 0.376
0.750 0.750 0.750
```

[7]
Compound: RbCrMo2
Source: the Alexandria database
Functional: meta-GGA SCAN
Structure: single point on PBEsol structure

Output
- DFT total energy: -25.240 eV/atom
- Density of states at the Fermi level: 3.7 states/eV/cell
- Space group: No. 225
- ΔE_f: 1984 meV/atom

The structure in POSCAR format:
```
RbCrMo2
1.0
4.525 0.000 0.000
2.262 3.919 0.000
2.262 1.306 3.695
Mo Cr Rb
2 1 1
Direct
0.250 0.250 0.250
0.750 0.750 0.750
0.000 0.000 0.000
0.500 0.500 0.500
```

[8]
Compound: CrReMo2
Source: the Alexandria database
Functional: meta-GGA SCAN
Structure: single point on PBEsol structure

Output
- DFT total energy: -39.772 eV/atom
- Density of states at the Fermi level: 3.3 states/eV/cell
- Space group: No. 47
- ΔE_f: 41 meV/atom

The structure in POSCAR format:
```
CrReMo2
1.0
-0.881 -2.515 1.491
2.663 0.978 3.225
-3.152 2.244 1.922
Re Mo Cr
1 2 1
Direct
0.500 0.000 0.500
0.000 0.000 0.000
0.500 0.500 0.000
0.000 0.500 0.500
```

[9]
Compound: Cr2ReMo
Source: the Alexandria database
Functional: meta-GGA SCAN
Structure: single point on PBEsol structure

Output
- DFT total energy: -35.353 eV/atom
- Density of states at the Fermi level: 3.5 states/eV/cell
- Space group: No. 160
- ΔE_f: 335 meV/atom

The structure in POSCAR format:
```
Cr2ReMo
1.0
2.757 0.000 0.000
1.379 2.388 0.000
1.379 0.796 8.124
Cr Mo Re
2 1 1
Direct
0.743 0.743 0.772
0.006 0.006 0.981
0.496 0.496 0.513
0.255 0.255 0.234
```

[10]
Compound: CrReMo2
Source: the Alexandria database
Functional: meta-GGA SCAN
Structure: single point on PBEsol structure

Output
- DFT total energy: -39.777 eV/atom
- Density of states at the Fermi level: 3.2 states/eV/cell
- Space group: No. 44
- ΔE_f: 37 meV/atom

The structure in POSCAR format:
```
CrReMo2
1.0
3.051 0.000 0.000
0.000 4.333 0.000
-1.525 -2.166 4.294
Mo Cr Re
2 1 1
Direct
0.996 0.996 0.993
0.748 0.248 0.496
0.253 0.753 0.505
0.503 0.503 0.006
```

[11]
Compound: CrReMo2
Source: the Alexandria database
Functional: meta-GGA SCAN
Structure: single point on PBEsol structure

Output
- DFT total energy: -39.761 eV/atom
- Density of states at the Fermi level: 3.3 states/eV/cell
- Space group: No. 12
- ΔE_f: 52 meV/atom

The structure in POSCAR format:
```
CrReMo2
1.0
2.660 -0.003 0.000
-0.907 4.962 0.000
-0.876 -2.479 4.310
Cr Mo Re
1 2 1
Direct
0.000 0.500 0.000
0.500 0.500 0.500
0.000 0.000 0.500
0.500 0.000 0.000
```

[12]
Compound: Cr2ReMo
Source: the Alexandria database
Functional: meta-GGA SCAN
Structure: single point on PBEsol structure

Output
- DFT total energy: -35.694 eV/atom
- Density of states at the Fermi level: 3.2 states/eV/cell
- Space group: No. 123
- ΔE_f: -6 meV/atom

The structure in POSCAR format:
```
Cr2ReMo
1.0
-0.471 1.679 2.397
1.431 -3.096 2.449
3.891 1.546 -0.319
Cr Re Mo
2 1 1
Direct
0.000 0.000 0.500
0.000 0.500 0.000
0.500 0.000 0.000
0.500 0.500 0.500
```

[13]
Compound: CrReMo2
Source: the Alexandria database
Functional: meta-GGA SCAN
Structure: single point on PBEsol structure

Output
- DFT total energy: -39.787 eV/atom
- Density of states at the Fermi level: 3.0 states/eV/cell
- Space group: No. 123
- ΔE_f: 26 meV/atom

The structure in POSCAR format:
```
CrReMo2
1.0
3.038 0.000 0.000
0.000 3.038 0.000
0.000 0.000 6.126
Cr Mo Re
1 2 1
Direct
0.500 0.500 0.500
0.000 0.000 0.737
0.000 0.000 0.263
0.500 0.500 0.000
```

[14]
Compound: CrReMo2
Source: the Alexandria database
Functional: meta-GGA SCAN
Structure: single point on PBEsol structure

Output
- DFT total energy: -39.765 eV/atom
- Density of states at the Fermi level: 3.3 states/eV/cell
- Space group: No. 6
- ΔE_f: 48 meV/atom

The structure in POSCAR format:
```
CrReMo2
1.0
2.657 0.000 -0.001
0.000 4.289 0.000
-0.874 0.000 4.988
Cr Mo Re
1 2 1
Direct
0.243 0.500 0.750
0.756 0.500 0.252
0.000 0.000 0.993
0.501 0.000 0.506
```

[15]
Compound: Cr4ReMo
Source: the Alexandria database
Functional: meta-GGA SCAN
Structure: single point on PBEsol structure

Output
- DFT total energy: -29.845 eV/atom
- Density of states at the Fermi level: 6.9 states/eV/cell
- Space group: No. 216
- ΔE_f: 75 meV/atom

The structure in POSCAR format:
```
Cr4ReMo
1.0
4.724 0.000 0.000
2.362 4.091 0.000
2.362 1.364 3.857
Cr Re Mo
4 1 1
Direct
0.874 0.375 0.375
0.375 0.874 0.375
0.375 0.375 0.375
0.375 0.375 0.874
0.000 0.000 0.000
0.750 0.750 0.750
```

[16]
Compound: Cr2ReMo
Source: the Alexandria database
Functional: meta-GGA SCAN
Structure: single point on PBEsol structure

Output
- DFT total energy: -35.674 eV/atom
- Density of states at the Fermi level: 3.4 states/eV/cell
- Space group: No. 44
- ΔE_f: 14 meV/atom

The structure in POSCAR format:
```
Cr2ReMo
1.0
-0.695 -2.751 0.872
3.875 -1.290 -0.983
-0.298 2.930 3.955
Mo Re Cr
1 1 2
Direct
0.495 0.495 0.990
0.253 0.753 0.507
0.746 0.246 0.492
0.006 0.006 0.012
```

[17]
Compound: CrReMo
Source: the Alexandria database
Functional: meta-GGA SCAN
Structure: single point on PBEsol structure

Output
- DFT total energy: -41.422 eV/atom
- Density of states at the Fermi level: 2.6 states/eV/cell
- Space group: No. 156
- ΔE_f: 34 meV/atom

The structure in POSCAR format:
```
CrReMo
1.0
-0.382 1.104 -2.371
-4.020 -1.399 -0.003
0.922 3.822 1.631
Re Cr Mo
1 1 1
Direct
0.324 0.667 0.333
0.000 0.000 0.000
0.675 0.333 0.667
```

[18]
Compound: CrReMo2
Source: the Alexandria database
Functional: meta-GGA SCAN
Structure: single point on PBEsol structure

Output
- DFT total energy: -39.769 eV/atom
- Density of states at the Fermi level: 3.4 states/eV/cell
- Space group: No. 99
- ΔE_f: 44 meV/atom

The structure in POSCAR format:
```
CrReMo2
1.0
-2.124 -1.890 1.088
-0.213 -1.333 -2.729
4.360 -3.978 1.603
Re Mo Cr
1 2 1
Direct
0.000 0.000 0.508
0.000 0.000 0.985
0.500 0.500 0.252
0.500 0.500 0.755
```

[19]
Compound: Cr2ReMo
Source: the Alexandria database
Functional: meta-GGA SCAN
Structure: single point on PBEsol structure

Output
- DFT total energy: -35.633 eV/atom
- Density of states at the Fermi level: 3.4 states/eV/cell
- Space group: No. 71
- ΔE_f: 55 meV/atom

The structure in POSCAR format:
```
Cr2ReMo
1.0
-0.122 2.970 -0.369
-1.901 -0.547 -3.781
-2.693 -1.134 3.926
Cr Re Mo
2 1 1
Direct
0.248 0.248 0.497
0.752 0.752 0.503
0.000 0.500 0.000
0.500 0.000 0.000
```

[20]
Compound: Cr2ReMo
Source: the Alexandria database
Functional: meta-GGA SCAN
Structure: single point on PBEsol structure

Output
- DFT total energy: -35.650 eV/atom
- Density of states at the Fermi level: 3.4 states/eV/cell
- Space group: No. 99
- ΔE_f: 38 meV/atom

The structure in POSCAR format:
```
Cr2ReMo
1.0
-1.846 1.959 -1.222
-2.164 -2.013 0.044
-1.633 1.876 5.476
Re Cr Mo
1 2 1
Direct
0.500 0.500 0.767
0.500 0.500 0.240
0.000 0.000 0.011
0.000 0.000 0.482
```

[21]
Compound: CrReMo2
Source: the Alexandria database
Functional: meta-GGA SCAN
Structure: single point on PBEsol structure

Output
- DFT total energy: -39.792 eV/atom
- Density of states at the Fermi level: 3.1 states/eV/cell
- Space group: No. 225
- ΔE_f: 21 meV/atom

The structure in POSCAR format:
```
CrReMo2
1.0
-1.398 0.955 3.970
-2.435 -2.827 2.169
1.626 -2.073 3.418
Cr Re Mo
1 1 2
Direct
0.000 0.000 0.000
0.500 0.500 0.500
0.750 0.750 0.750
0.250 0.250 0.250
```

[22]
Compound: CrReMo
Source: the Alexandria database
Functional: meta-GGA SCAN
Structure: single point on PBEsol structure

Output
- DFT total energy: -40.779 eV/atom
- Density of states at the Fermi level: 4.3 states/eV/cell
- Space group: No. 216
- ΔE_f: 677 meV/atom

The structure in POSCAR format:
```
CrReMo
1.0
4.132 0.000 0.000
2.066 3.579 0.000
2.066 1.193 3.374
Re Cr Mo
1 1 1
Direct
0.250 0.250 0.250
0.000 0.000 0.000
0.500 0.500 0.500
```

[23]
Compound: CrRe2Mo
Source: the Alexandria database
Functional: meta-GGA SCAN
Structure: single point on PBEsol structure

Output
- DFT total energy: -48.838 eV/atom
- Density of states at the Fermi level: 3.8 states/eV/cell
- Space group: No. 123
- ΔE_f: 28 meV/atom

The structure in POSCAR format:
```
CrRe2Mo
1.0
3.024 0.000 0.000
0.000 3.024 0.000
0.000 0.000 6.113
Re Mo Cr
2 1 1
Direct
0.000 0.000 0.766
0.000 0.000 0.234
0.500 0.500 0.500
0.500 0.500 0.000
```

[24]
Compound: CrReMo2
Source: the Alexandria database
Functional: meta-GGA SCAN
Structure: single point on PBEsol structure

Output
- DFT total energy: -39.734 eV/atom
- Density of states at the Fermi level: 3.1 states/eV/cell
- Space group: No. 65
- ΔE_f: 79 meV/atom

The structure in POSCAR format:
```
CrReMo2
1.0
-1.737 -0.487 1.956
-1.040 -0.722 -2.340
3.271 -7.813 0.958
Mo Cr Re
2 1 1
Direct
0.000 0.000 0.238
0.000 0.000 0.762
0.500 0.500 0.000
0.500 0.500 0.500
```

[25]
Compound: Cr2ReMo
Source: the Alexandria database
Functional: meta-GGA SCAN
Structure: single point on PBEsol structure

Output
- DFT total energy: -35.635 eV/atom
- Density of states at the Fermi level: 3.5 states/eV/cell
- Space group: No. 47
- ΔE_f: 53 meV/atom

The structure in POSCAR format:
```
Cr2ReMo
1.0
-0.488 -1.425 2.590
0.243 -3.640 -1.958
4.204 -0.112 0.730
Cr Re Mo
2 1 1
Direct
0.500 0.000 0.500
0.000 0.000 0.000
0.000 0.500 0.500
0.500 0.500 0.000
```

[26]
Compound: CrReMo2
Source: the Alexandria database
Functional: meta-GGA SCAN
Structure: single point on PBEsol structure

Output
- DFT total energy: -39.745 eV/atom
- Density of states at the Fermi level: 3.2 states/eV/cell
- Space group: No. 35
- ΔE_f: 68 meV/atom

The structure in POSCAR format:
```
CrReMo2
1.0
2.657 0.000 0.000
-0.892 2.503 0.000
0.000 0.000 8.537
Mo Re Cr
2 1 1
Direct
0.500 0.500 0.749
0.000 0.000 0.012
0.000 0.000 0.487
0.500 0.500 0.252
```

[27]
Compound: CrReMo
Source: the Alexandria database
Functional: meta-GGA SCAN
Structure: single point on PBEsol structure

Output
- DFT total energy: -41.434 eV/atom
- Density of states at the Fermi level: 2.6 states/eV/cell
- Space group: No. 107
- ΔE_f: 22 meV/atom

The structure in POSCAR format:
```
CrReMo
1.0
3.015 0.000 0.000
0.000 3.015 0.000
-1.508 -1.508 4.537
Mo Re Cr
1 1 1
Direct
0.661 0.661 0.322
0.338 0.338 0.677
0.001 0.001 0.002
```

[28]
Compound: CrRe2Mo
Source: the Alexandria database
Functional: meta-GGA SCAN
Structure: single point on PBEsol structure

Output
- DFT total energy: -48.799 eV/atom
- Density of states at the Fermi level: 3.5 states/eV/cell
- Space group: No. 12
- ΔE_f: 67 meV/atom

The structure in POSCAR format:
```
CrRe2Mo
1.0
2.651 0.000 0.000
-0.849 4.954 0.000
-0.901 -2.477 4.293
Re Mo Cr
2 1 1
Direct
0.000 0.000 0.500
0.500 0.500 0.500
0.500 0.000 0.000
0.000 0.500 0.000
```

[29]
Compound: Cr2ReMo
Source: the Alexandria database
Functional: meta-GGA SCAN
Structure: single point on PBEsol structure

Output
- DFT total energy: -35.633 eV/atom
- Density of states at the Fermi level: 3.5 states/eV/cell
- Space group: No. 10
- ΔE_f: 55 meV/atom

The structure in POSCAR format:
```
Cr2ReMo
1.0
-2.195 0.962 1.027
1.489 -0.662 3.802
2.689 4.179 -0.326
Cr Mo Re
2 1 1
Direct
0.741 0.000 0.747
0.259 0.000 0.253
0.500 0.500 0.000
0.000 0.500 0.500
```

[30]
Compound: CrReMo2
Source: the Alexandria database
Functional: meta-GGA SCAN
Structure: single point on PBEsol structure

Output
- DFT total energy: -39.784 eV/atom
- Density of states at the Fermi level: 2.9 states/eV/cell
- Space group: No. 216
- ΔE_f: 29 meV/atom

The structure in POSCAR format:
```
CrReMo2
1.0
4.363 0.000 0.000
2.182 3.779 0.000
2.182 1.260 3.563
Mo Cr Re
2 1 1
Direct
0.750 0.750 0.750
0.000 0.000 0.000
0.500 0.500 0.500
0.250 0.250 0.250
```

[31]
Compound: Cr2ReMo
Source: the Alexandria database
Functional: meta-GGA SCAN
Structure: single point on PBEsol structure

Output
- DFT total energy: -35.647 eV/atom
- Density of states at the Fermi level: 3.4 states/eV/cell
- Space group: No. 6
- ΔE_f: 41 meV/atom

The structure in POSCAR format:
```
Cr2ReMo
1.0
-0.893 2.432 0.267
-2.270 -1.197 3.316
4.016 0.216 2.827
Re Cr Mo
1 2 1
Direct
0.253 0.500 0.762
0.746 0.500 0.244
0.999 0.000 0.004
0.502 0.000 0.490
```